Entry 1:
Entry from Alexandria: a relaxed structure of Hf3Ga4Mo2 (GGA-PBE).

Unit cell a=3.634 b=6.269 c=8.455 alpha=116.28 beta=90.00 gamma=106.85
Atoms (fractional coordinates):
Hf  0.639  0.277  0.689
Hf  0.000  0.000  0.000
Hf  0.361  0.723  0.311
Ga  0.696  0.392  0.048
Ga  0.304  0.608  0.952
Ga  0.943  0.887  0.609
Ga  0.057  0.113  0.391
Mo  0.691  0.383  0.351
Mo  0.309  0.617  0.649

Computed properties:
Crystal system   monoclinic
Space-group type   C2/m, No. 12
DOS at the Fermi energy   0.589 states/eV/atom
Calculated formation energy   -0.254 eV/atom



Entry 2:
Entry from Alexandria: a relaxed structure of HfGaMo3 (GGA-PBE).

Unit cell a=4.788 b=4.788 c=4.788 alpha=90.00 beta=90.00 gamma=90.00
Atoms (fractional coordinates):
Mo  0.000  0.500  0.000
Mo  0.000  0.000  0.500
Mo  0.500  0.000  0.000
Hf  0.000  0.000  0.000
Ga  0.500  0.500  0.500

Computed properties:
Offset from the most stable computed form   800 meV/atom
Crystal system   cubic
Space-group type   Pm-3m, No. 221
DOS at the Fermi energy   1.135 states/eV/atom
Calculated formation energy   1.941 eV/atom



Entry 3:
Entry from Alexandria: a relaxed structure of HfGa2Mo2 (GGA-PBE).

Unit cell a=4.193 b=4.193 c=6.087 alpha=69.86 beta=69.86 gamma=90.00
Atoms (fractional coordinates):
Mo  0.395  0.395  0.209
Mo  0.605  0.605  0.791
Hf  0.000  0.000  0.000
Ga  0.750  0.250  0.500
Ga  0.250  0.750  0.500

Computed properties:
Offset from the most stable computed form   548 meV/atom
Crystal system   tetragonal
Space-group type   I4/mmm, No. 139
DOS at the Fermi energy   0.986 states/eV/atom
Calculated formation energy   0.300 eV/atom



Entry 4:
Entry from Alexandria: a relaxed structure of Hf3GaMo (GGA-PBE).

Unit cell a=5.003 b=5.003 c=5.003 alpha=90.00 beta=90.00 gamma=90.00
Atoms (fractional coordinates):
Mo  0.000  0.000  0.000
Hf  0.000  0.500  0.000
Hf  0.000  0.000  0.500
Hf  0.500  0.000  0.000
Ga  0.500  0.500  0.500

Computed properties:
Offset from the most stable computed form   0 meV/atom
Crystal system   cubic
Space-group type   Pm-3m, No. 221
DOS at the Fermi energy   1.875 states/eV/atom
Calculated formation energy   0.808 eV/atom